1.
# Ti2C2I

A relaxed structure of Ti2C2I (PBE, Alexandria via LeMat-Bulk).

a b c (Å): 7.1311 7.1311 3.3283
angles (deg): 90.00 90.00 90.00
Atoms (fractional coordinates):
Ti 0.6212 0.1212 0.0000
C 0.9283 0.4283 0.5000
Ti 0.1212 0.3788 0.0000
C 0.4283 0.0717 0.5000
Ti 0.8788 0.6212 0.0000
I 0.5000 0.5000 0.0000
I 0.0000 0.0000 0.0000
C 0.0717 0.5717 0.5000
C 0.5717 0.9283 0.5000
Ti 0.3788 0.8788 0.0000

Results
- formation energy without anion corrections (eV/f.u.) = 1.171
- density of states at the Fermi level (states/eV per atom) = 0.34
- symmetry = P4/mbm, No. 127
- volume (Å³ per atom) = 16.9
- calculated total energy (eV per cell) = -69.2

2.
# Ti2CI

A relaxed structure of Ti2CI (PBE, Alexandria via LeMat-Bulk).

a b c (Å): 4.4229 4.4229 4.4229
angles (deg): 60.00 60.00 60.00
Atoms (fractional coordinates):
Ti 0.7500 0.7500 0.7500
C 0.0000 0.0000 0.0000
I 0.5000 0.5000 0.5000
Ti 0.2500 0.2500 0.2500

Results
- formation energy without anion corrections (eV/f.u.) = 3.020
- density of states at the Fermi level (states/eV per atom) = 0.70
- symmetry = Fm-3m, No. 225
- volume (Å³ per atom) = 15.3
- calculated total energy (eV per cell) = -23.5